Entry 1:
# Pm2NdHgC | Alexandria | PBE | optimized geometry
# - Formation enthalpy at 0 K: -228 meV/atom
data_Pm2NdHgC
_space_group_name_H-M_alt 'P 1'
_space_group_IT_number 1
_space_group_name_Hall 'P 1'
_cell_length_a 5.057
_cell_length_b 5.057
_cell_length_c 5.113
_cell_angle_alpha 90.00
_cell_angle_beta 90.00
_cell_angle_gamma 90.00
loop_
_atom_site_label
_atom_site_type_symbol
_atom_site_fract_x
_atom_site_fract_y
_atom_site_fract_z
Pm1 Pm 0.000 0.500 0.000
Pm2 Pm 0.500 0.000 0.000
Nd1 Nd 0.000 0.000 0.500
Hg1 Hg 0.500 0.500 0.500
C1 C 0.000 0.000 0.000

Entry 2:
# PrNd2HgC | Alexandria | PBE | optimized geometry
# - Formation enthalpy at 0 K: -232 meV/atom
data_PrNd2HgC
_space_group_name_H-M_alt 'P 1'
_space_group_IT_number 1
_space_group_name_Hall 'P 1'
_cell_length_a 7.249
_cell_length_b 7.249
_cell_length_c 7.249
_cell_angle_alpha 120.61
_cell_angle_beta 120.61
_cell_angle_gamma 88.94
loop_
_atom_site_label
_atom_site_type_symbol
_atom_site_fract_x
_atom_site_fract_y
_atom_site_fract_z
Pr1 Pr 0.250 0.250 0.000
Pr2 Pr 0.750 0.750 0.000
Nd1 Nd 0.194 0.694 0.887
Nd2 Nd 0.306 0.194 0.500
Nd3 Nd 0.694 0.806 0.500
Nd4 Nd 0.806 0.306 0.113
Hg1 Hg 0.250 0.750 0.500
Hg2 Hg 0.750 0.250 0.500
C1 C 0.000 0.000 0.000
C2 C 0.500 0.500 0.000

Entry 3:
# Nd2Hg2Rh4C | Alexandria | PBE | optimized geometry
# - Formation enthalpy at 0 K: -185 meV/atom
data_Nd2Hg2Rh4C
_space_group_name_H-M_alt 'P 1'
_space_group_IT_number 1
_space_group_name_Hall 'P 1'
_cell_length_a 6.185
_cell_length_b 6.185
_cell_length_c 6.185
_cell_angle_alpha 120.29
_cell_angle_beta 120.29
_cell_angle_gamma 89.50
loop_
_atom_site_label
_atom_site_type_symbol
_atom_site_fract_x
_atom_site_fract_y
_atom_site_fract_z
Nd1 Nd 0.212 0.212 0.000
Nd2 Nd 0.788 0.788 0.000
Hg1 Hg 0.250 0.750 0.500
Hg2 Hg 0.750 0.250 0.500
Rh1 Rh 0.264 0.264 0.528
Rh2 Rh 0.264 0.736 0.000
Rh3 Rh 0.736 0.264 0.000
Rh4 Rh 0.736 0.736 0.472
C1 C 0.500 0.500 0.000

Entry 4:
# Nd2HgRhC | Alexandria | PBE | optimized geometry
# - Formation enthalpy at 0 K: -416 meV/atom
data_Nd2HgRhC
_space_group_name_H-M_alt 'P 1'
_space_group_IT_number 1
_space_group_name_Hall 'P 1'
_cell_length_a 5.306
_cell_length_b 5.306
_cell_length_c 3.917
_cell_angle_alpha 90.00
_cell_angle_beta 90.00
_cell_angle_gamma 90.00
loop_
_atom_site_label
_atom_site_type_symbol
_atom_site_fract_x
_atom_site_fract_y
_atom_site_fract_z
Nd1 Nd 0.000 0.500 0.000
Nd2 Nd 0.500 0.000 0.000
Hg1 Hg 0.000 0.000 0.500
Rh1 Rh 0.500 0.500 0.500
C1 C 0.500 0.500 0.000

In the order shown, the computed DFT total energy values come out to -4.987; -5.000; -5.603; -5.699 eV/atom.